(1)
# LaYPb

A geometry-optimized LaYPb structure (PBEsol, Alexandria via LeMat-Bulk).

a = 5.145 Å, b = 5.145 Å, c = 4.179 Å
α = 90.00°, β = 90.00°, γ = 120.00°
Fractional coordinates of all 3 atoms:
La  0.000  0.000  0.000
Y  0.667  0.333  0.500
Pb  0.333  0.667  0.499

Properties
ρ: 7541 kg/m3
SG: P3m1, No. 156
Fermi-level density of states: 0.686 states/eV per atom
energy relative to the elements: -0.31 eV/atom

(2)
# LaYPb

A geometry-optimized LaYPb structure (PBEsol, Alexandria via LeMat-Bulk).

a = 7.601 Å, b = 7.601 Å, c = 7.601 Å
α = 152.61°, β = 152.61°, γ = 39.12°
Fractional coordinates of all 3 atoms:
La  0.000  0.000  0.000
Y  0.305  0.305  0.000
Pb  0.659  0.659  0.000

Properties
ρ: 7787 kg/m3
SG: I4mm, No. 107
Fermi-level density of states: 1.037 states/eV per atom
energy relative to the elements: -0.32 eV/atom

(3)
# LaYPb2

A geometry-optimized LaYPb2 structure (PBEsol, Alexandria via LeMat-Bulk).

a = 3.541 Å, b = 4.456 Å, c = 7.165 Å
α = 90.00°, β = 90.00°, γ = 90.00°
Fractional coordinates of all 4 atoms:
La  0.000  0.000  0.000
Y  0.000  0.000  0.500
Pb  0.500  0.500  0.267
Pb  0.500  0.500  0.733

Properties
ρ: 9430 kg/m3
SG: Pmmm, No. 47
Fermi-level density of states: 0.908 states/eV per atom
energy relative to the elements: -0.58 eV/atom

(4)
# LaZn2Pb

A geometry-optimized LaZn2Pb structure (PBEsol, Alexandria via LeMat-Bulk).

a = 3.484 Å, b = 3.484 Å, c = 7.457 Å
α = 90.00°, β = 90.00°, γ = 90.00°
Fractional coordinates of all 4 atoms:
La  0.000  0.000  0.000
Zn  0.000  0.000  0.576
Zn  0.500  0.500  0.721
Pb  0.500  0.500  0.326

Properties
ρ: 8749 kg/m3
SG: P4mm, No. 99
Fermi-level density of states: 0.628 states/eV per atom
energy relative to the elements: -0.17 eV/atom

(5)
# La2Zn2Pb

A geometry-optimized La2Zn2Pb structure (PBEsol, Alexandria via LeMat-Bulk).

a = 7.368 Å, b = 7.368 Å, c = 4.650 Å
α = 90.00°, β = 90.00°, γ = 90.00°
Fractional coordinates of all 10 atoms:
La  0.175  0.325  0.000
La  0.325  0.825  0.000
La  0.675  0.175  0.000
La  0.825  0.675  0.000
Zn  0.120  0.620  0.500
Zn  0.380  0.120  0.500
Zn  0.620  0.880  0.500
Zn  0.880  0.380  0.500
Pb  0.000  0.000  0.500
Pb  0.500  0.500  0.500

Properties
ρ: 8103 kg/m3
SG: P4/mbm, No. 127
Fermi-level density of states: 0.699 states/eV per atom
energy relative to the elements: -0.42 eV/atom

(6)
# LaZnPb

A geometry-optimized LaZnPb structure (PBEsol, Alexandria via LeMat-Bulk).

a = 4.558 Å, b = 4.558 Å, c = 4.396 Å
α = 90.00°, β = 90.00°, γ = 120.00°
Fractional coordinates of all 3 atoms:
La  0.000  0.000  0.000
Zn  0.667  0.333  0.404
Pb  0.333  0.667  0.532

Properties
ρ: 8640 kg/m3
SG: P3m1, No. 156
Fermi-level density of states: 0.612 states/eV per atom
energy relative to the elements: -0.46 eV/atom